Density functional theory data (PBE) for a relaxed structure of CrIn2Sb.

The structure in POSCAR format:
```
CrIn2Sb
1.0
6.107 0.000 0.000
0.000 9.527 0.000
0.000 0.000 3.276
Cr In Sb
2 4 2
direct
0.000 0.000 0.000
0.500 0.500 0.000
0.250 0.250 0.500
0.250 0.750 0.500
0.750 0.250 0.500
0.750 0.750 0.500
0.000 0.500 0.000
0.500 0.000 0.000
```

Values from the calculation:
Formation energy (no corrections): 0.35 eV per atom
Density of states at the Fermi level: 1.998 states/eV/f.u.
Crystal system: orthorhombic
VASP energy: -4.4599 eV per atom